Density functional theory data (GGA+U) for a geometry-optimized Tl4FeF6 structure.

The calculation puts the total energy at -4.3166 eV/atom.

a = 7.6716 Å, b = 7.6716 Å, c = 8.0043 Å
α = 90.00°, β = 90.00°, γ = 90.00°
Fractional coordinates of all 22 atoms:
1 Tl 0.8323 0.3323 0.2500
2 Tl 0.3323 0.1677 0.7500
3 Tl 0.6677 0.8323 0.7500
4 Tl 0.6677 0.8323 0.2500
5 Tl 0.8323 0.3323 0.7500
6 Tl 0.1677 0.6677 0.2500
7 Tl 0.3323 0.1677 0.2500
8 Tl 0.1677 0.6677 0.7500
9 F 0.0000 0.0000 0.7535
10 F 0.6231 0.2452 0.0000
11 F 0.5000 0.5000 0.2535
12 F 0.2452 0.3769 0.0000
13 F 0.0000 0.0000 0.2465
14 F 0.8769 0.7452 0.5000
15 F 0.5000 0.5000 0.7465
16 F 0.3769 0.7548 0.0000
17 F 0.2548 0.8769 0.5000
18 F 0.7452 0.1231 0.5000
19 F 0.7548 0.6231 0.0000
20 F 0.1231 0.2548 0.5000
21 Fe 0.5000 0.5000 0.0000
22 Fe 0.0000 0.0000 0.5000